First-principles (PBE) data for a geometry-optimized Si2TeSe structure, as listed in the Alexandria database.

a b c (Å): 4.841 4.842 4.843
angles (deg): 69.73 72.09 110.25
Fractional coordinates of all 4 atoms:
1 Se 0.500 0.500 0.000
2 Si 0.000 0.000 0.000
3 Si 0.500 0.000 0.500
4 Te 0.000 0.500 0.500

Results
**Calculated total energy**: -4.073 eV/atom
**Total magnetic moment**: 0.00 μB per formula unit
**Formation energy (no corrections)**: 296 meV per atom

First-principles (PBE) data for a geometry-optimized Ca2NdWN4 structure, as listed in the Alexandria database.

a b c (Å): 5.394 6.736 7.678
angles (deg): 90.00 90.00 90.00
Last column: magnetic moment on the atom in μB.
Fractional coordinates of all 16 atoms:
1 Ca 0.466 0.341 0.251  0.04
2 Ca 0.466 0.341 0.749  0.04
3 Ca 0.966 0.659 0.751  0.04
4 Ca 0.966 0.659 0.249  0.04
5 Nd 0.964 0.153 0.500  0.12
6 Nd 0.464 0.847 0.000  0.12
7 W 0.499 0.831 0.500  0.12
8 W 0.999 0.169 0.000  0.12
9 N 0.346 0.175 0.000  0.00
10 N 0.846 0.825 0.500  0.00
11 N 0.431 0.114 0.500  0.00
12 N 0.931 0.886 0.000  0.00
13 N 0.415 0.699 0.712  0.01
14 N 0.915 0.301 0.212  0.01
15 N 0.915 0.301 0.788  0.01
16 N 0.415 0.699 0.288  0.01

Results
**Calculated total energy**: -7.901 eV/atom
**Total magnetic moment**: 0.78 μB per formula unit
**Formation energy (no corrections)**: -1023 meV per atom